No. 1
## CaGa6Ag6 (PBE)

Data for CaGa6Ag6 after structural relaxation.

Calculated values
ΔH_f (0 K): -0.1055 eV per atom
DFT total energy: -2.972 eV per atom
volume: 241.1 Å³ per cell
total magnetization: 0.00 Bohr magnetons per cell

a b c (Å): 5.470 7.180 7.180
angles (deg): 80.85 67.61 67.61
Fractional coordinates of all 13 atoms:
Ga: 0.500 0.214 0.786
Ga: 0.500 0.786 0.214
Ga: 0.500 0.500 0.000
Ga: 0.500 0.000 0.500
Ga: 0.000 0.000 0.500
Ga: 0.000 0.500 0.000
Ca: 0.000 0.000 0.000
Ag: 0.285 0.215 0.215
Ag: 0.715 0.785 0.785
Ag: 0.348 0.652 0.652
Ag: 0.000 0.345 0.655
Ag: 0.652 0.348 0.348
Ag: 0.000 0.655 0.345

=====

No. 2
## Ca5GaAg4 (PBE)

Data for Ca5GaAg4 after structural relaxation.

Calculated values
ΔH_f (0 K): -0.3356 eV per atom
DFT total energy: -2.780 eV per atom
volume: 254.6 Å³ per cell
total magnetization: 0.00 Bohr magnetons per cell

a b c (Å): 3.727 3.727 18.326
angles (deg): 90.00 90.00 90.00
Fractional coordinates of all 10 atoms:
Ca: 0.500 0.500 0.700
Ca: 0.500 0.500 0.300
Ca: 0.500 0.500 0.500
Ca: 0.500 0.500 0.902
Ca: 0.500 0.500 0.098
Ga: 0.000 0.000 0.000
Ag: 0.000 0.000 0.400
Ag: 0.000 0.000 0.199
Ag: 0.000 0.000 0.600
Ag: 0.000 0.000 0.801

=====

No. 3
## Ca2GaAg (PBE)

Data for Ca2GaAg after structural relaxation.

Calculated values
ΔH_f (0 K): 0.1122 eV per atom
DFT total energy: -2.358 eV per atom
volume: 128.9 Å³ per cell
total magnetization: 0.00 Bohr magnetons per cell

a b c (Å): 3.790 3.790 10.586
angles (deg): 79.69 79.69 60.00
Fractional coordinates of all 4 atoms:
Ca: 0.098 0.098 0.705
Ca: 0.902 0.902 0.295
Ga: 0.000 0.000 0.000
Ag: 0.500 0.500 0.500

=====

No. 4
## Ca5GaAg2 (PBE)

Data for Ca5GaAg2 after structural relaxation.

Calculated values
ΔH_f (0 K): -0.3160 eV per atom
DFT total energy: -2.658 eV per atom
volume: 472.6 Å³ per cell
total magnetization: 0.00 Bohr magnetons per cell

a b c (Å): 7.991 7.991 9.312
angles (deg): 115.41 115.41 90.00
Fractional coordinates of all 16 atoms:
Ag: 0.875 0.625 0.000
Ag: 0.375 0.875 0.000
Ag: 0.125 0.375 0.000
Ag: 0.625 0.125 0.000
Ca: 0.023 0.523 0.706
Ca: 0.682 0.182 0.706
Ca: 0.500 0.500 0.000
Ca: 0.182 0.023 0.706
Ca: 0.318 0.818 0.294
Ca: 0.477 0.318 0.294
Ca: 0.000 0.000 0.000
Ca: 0.977 0.477 0.294
Ca: 0.523 0.682 0.706
Ca: 0.818 0.977 0.294
Ga: 0.750 0.750 0.500
Ga: 0.250 0.250 0.500

=====

No. 5
## Ca2Ga3Ag5 (PBE)

Data for Ca2Ga3Ag5 after structural relaxation.

Calculated values
ΔH_f (0 K): -0.2494 eV per atom
DFT total energy: -2.983 eV per atom
volume: 408.7 Å³ per cell
total magnetization: 0.00 Bohr magnetons per cell

a b c (Å): 4.594 7.160 12.634
angles (deg): 90.00 100.48 90.00
Fractional coordinates of all 20 atoms:
Ag: 0.399 0.370 0.799
Ag: 0.302 0.610 0.605
Ag: 0.122 0.182 0.243
Ag: 0.698 0.110 0.395
Ag: 0.723 0.523 0.447
Ag: 0.057 0.517 0.115
Ag: 0.601 0.870 0.201
Ag: 0.277 0.023 0.553
Ag: 0.878 0.682 0.757
Ag: 0.943 0.017 0.885
Ca: 0.520 0.197 0.040
Ca: 0.480 0.697 0.960
Ca: 0.824 0.264 0.648
Ca: 0.176 0.764 0.352
Ga: 0.382 0.969 0.764
Ga: 0.618 0.469 0.236
Ga: 0.048 0.900 0.095
Ga: 0.222 0.333 0.444
Ga: 0.952 0.400 0.905
Ga: 0.778 0.833 0.556

=====

No. 6
## CaGa3Ag3 (PBE)

Data for CaGa3Ag3 after structural relaxation.

Calculated values
ΔH_f (0 K): -0.2286 eV per atom
DFT total energy: -3.034 eV per atom
E above lowest polymorph: 0 meV/atom
volume: 272.3 Å³ per cell
total magnetization: 0.00 Bohr magnetons per cell

a b c (Å): 4.460 6.709 9.735
angles (deg): 110.80 90.00 90.00
Fractional coordinates of all 14 atoms:
Ag: 0.250 0.598 0.605
Ag: 0.250 0.068 0.150
Ag: 0.750 0.696 0.052
Ag: 0.750 0.402 0.395
Ag: 0.250 0.304 0.948
Ag: 0.750 0.932 0.850
Ca: 0.250 0.647 0.282
Ca: 0.750 0.353 0.718
Ga: 0.250 0.017 0.676
Ga: 0.250 0.184 0.458
Ga: 0.750 0.816 0.542
Ga: 0.750 0.983 0.324
Ga: 0.250 0.697 0.899
Ga: 0.750 0.303 0.101

=====

No. 7
## Ca3Ga8Ag3 (PBE)

Data for Ca3Ga8Ag3 after structural relaxation.

Calculated values
ΔH_f (0 K): -0.3886 eV per atom
DFT total energy: -3.158 eV per atom
volume: 280.2 Å³ per cell
total magnetization: 0.00 Bohr magnetons per cell

a b c (Å): 4.388 8.423 8.423
angles (deg): 71.89 74.90 74.90
Fractional coordinates of all 14 atoms:
Ga: 0.640 0.637 0.082
Ga: 0.838 0.531 0.793
Ga: 0.360 0.918 0.363
Ga: 0.162 0.207 0.469
Ga: 0.360 0.363 0.918
Ga: 0.838 0.793 0.531
Ga: 0.640 0.082 0.637
Ga: 0.162 0.469 0.207
Ca: 0.198 0.802 0.802
Ca: 0.802 0.198 0.198
Ca: 0.500 0.500 0.500
Ag: 0.500 0.000 0.000
Ag: 0.000 0.803 0.197
Ag: 0.000 0.197 0.803

=====

No. 8
## Ca4Ga3Ag (PBE)

Data for Ca4Ga3Ag after structural relaxation.

Calculated values
ΔH_f (0 K): -0.4136 eV per atom
DFT total energy: -2.906 eV per atom
volume: 212.7 Å³ per cell
total magnetization: 0.00 Bohr magnetons per cell

a b c (Å): 4.093 4.491 11.572
angles (deg): 90.00 90.00 90.00
Fractional coordinates of all 8 atoms:
Ca: 0.000 0.000 0.148
Ca: 0.500 0.000 0.646
Ca: 0.500 0.500 0.357
Ca: 0.000 0.500 0.852
Ga: 0.500 0.000 0.931
Ga: 0.000 0.000 0.433
Ga: 0.000 0.500 0.568
Ag: 0.500 0.500 0.065

=====

No. 9
## Ca2GaAg (PBE)

Data for Ca2GaAg after structural relaxation.

Calculated values
ΔH_f (0 K): -0.3654 eV per atom
DFT total energy: -2.836 eV per atom
volume: 100.4 Å³ per cell
total magnetization: 0.00 Bohr magnetons per cell

a b c (Å): 3.574 5.300 5.300
angles (deg): 90.00 90.00 90.00
Fractional coordinates of all 4 atoms:
Ag: 0.500 0.500 0.500
Ca: 0.000 0.500 0.000
Ca: 0.000 0.000 0.500
Ga: 0.500 0.000 0.000

=====

No. 10
## CaGa2Ag6 (PBE)

Data for CaGa2Ag6 after structural relaxation.

Calculated values
ΔH_f (0 K): -0.1567 eV per atom
DFT total energy: -2.953 eV per atom
volume: 175.9 Å³ per cell
total magnetization: 0.00 Bohr magnetons per cell

a b c (Å): 4.273 4.273 9.637
angles (deg): 90.00 90.00 90.00
Fractional coordinates of all 9 atoms:
Ag: 0.500 0.500 0.500
Ag: 0.500 0.000 0.710
Ag: 0.000 0.500 0.710
Ag: 0.000 0.000 0.500
Ag: 0.500 0.000 0.290
Ag: 0.000 0.500 0.290
Ca: 0.000 0.000 0.000
Ga: 0.500 0.500 0.870
Ga: 0.500 0.500 0.130

=====

No. 11
## Ca2Ga5Ag5 (PBE)

Data for Ca2Ga5Ag5 after structural relaxation.

Calculated values
ΔH_f (0 K): -0.2417 eV per atom
DFT total energy: -3.024 eV per atom
volume: 239.8 Å³ per cell
total magnetization: 0.00 Bohr magnetons per cell

a b c (Å): 4.509 5.486 9.696
angles (deg): 90.00 90.00 90.00
Fractional coordinates of all 12 atoms:
Ag: 0.500 0.000 0.000
Ag: 0.000 0.000 0.178
Ag: 0.000 0.500 0.335
Ag: 0.000 0.000 0.822
Ag: 0.000 0.500 0.665
Ca: 0.000 0.000 0.500
Ca: 0.000 0.500 0.000
Ga: 0.500 0.748 0.248
Ga: 0.500 0.500 0.500
Ga: 0.500 0.252 0.248
Ga: 0.500 0.748 0.752
Ga: 0.500 0.252 0.752

=====

No. 12
## Ca4GaAg3 (PBE)

Data for Ca4GaAg3 after structural relaxation.

Calculated values
ΔH_f (0 K): -0.3493 eV per atom
DFT total energy: -2.798 eV per atom
E above lowest polymorph: 0 meV/atom
volume: 215.1 Å³ per cell
total magnetization: 0.00 Bohr magnetons per cell

a b c (Å): 4.007 4.667 11.500
angles (deg): 90.00 90.00 90.00
Fractional coordinates of all 8 atoms:
Ag: 0.500 0.000 0.930
Ag: 0.000 0.000 0.425
Ag: 0.000 0.500 0.575
Ca: 0.000 0.500 0.857
Ca: 0.500 0.500 0.354
Ca: 0.000 0.000 0.142
Ca: 0.500 0.000 0.644
Ga: 0.500 0.500 0.073

=====

No. 13
## CaGa5Ag2 (PBE)

Data for CaGa5Ag2 after structural relaxation.

Calculated values
ΔH_f (0 K): -0.1804 eV per atom
DFT total energy: -3.035 eV per atom
volume: 160.9 Å³ per cell
total magnetization: 0.00 Bohr magnetons per cell

a b c (Å): 4.047 6.801 6.801
angles (deg): 66.91 72.69 72.69
Fractional coordinates of all 8 atoms:
Ga: 0.369 0.821 0.441
Ga: 0.369 0.441 0.821
Ga: 0.631 0.559 0.179
Ga: 0.631 0.179 0.559
Ga: 0.000 0.500 0.500
Ag: 0.260 0.240 0.240
Ag: 0.740 0.760 0.760
Ca: 0.000 0.000 0.000

=====

No. 14
## CaGa2Ag5 (PBE)

Data for CaGa2Ag5 after structural relaxation.

Calculated values
ΔH_f (0 K): -0.1458 eV per atom
DFT total energy: -2.935 eV per atom
volume: 160.1 Å³ per cell
total magnetization: 0.00 Bohr magnetons per cell

a b c (Å): 3.883 6.834 6.834
angles (deg): 70.37 73.49 73.49
Fractional coordinates of all 8 atoms:
Ag: 0.358 0.838 0.446
Ag: 0.642 0.554 0.162
Ag: 0.000 0.500 0.500
Ag: 0.358 0.446 0.838
Ag: 0.642 0.162 0.554
Ca: 0.000 0.000 0.000
Ga: 0.739 0.761 0.761
Ga: 0.261 0.239 0.239

=====

No. 15
## Ca2Ga7Ag (PBE)

Data for Ca2Ga7Ag after structural relaxation.

Calculated values
ΔH_f (0 K): -0.3667 eV per atom
DFT total energy: -3.171 eV per atom
volume: 204.8 Å³ per cell
total magnetization: 0.00 Bohr magnetons per cell

a b c (Å): 4.311 4.311 11.019
angles (deg): 90.00 90.00 90.00
Fractional coordinates of all 10 atoms:
Ga: 0.000 0.000 0.500
Ga: 0.500 0.000 0.363
Ga: 0.000 0.500 0.637
Ga: 0.000 0.500 0.862
Ga: 0.500 0.000 0.138
Ga: 0.000 0.000 0.000
Ga: 0.500 0.500 0.500
Ag: 0.500 0.500 0.000
Ca: 0.000 0.500 0.249
Ca: 0.500 0.000 0.751

=====

No. 16
## CaGa2Ag8 (PBE)

Data for CaGa2Ag8 after structural relaxation.

Calculated values
ΔH_f (0 K): 0.1851 eV per atom
DFT total energy: -2.621 eV per atom
volume: 269.6 Å³ per cell
total magnetization: 0.00 Bohr magnetons per cell

a b c (Å): 5.645 5.645 8.462
angles (deg): 90.00 90.00 90.00
Fractional coordinates of all 11 atoms:
Ag: 0.752 0.752 0.787
Ag: 0.752 0.248 0.213
Ag: 0.752 0.752 0.213
Ag: 0.248 0.752 0.787
Ag: 0.752 0.248 0.787
Ag: 0.248 0.248 0.213
Ag: 0.248 0.248 0.787
Ag: 0.248 0.752 0.213
Ga: 0.500 0.000 0.000
Ga: 0.000 0.500 0.000
Ca: 0.500 0.500 0.500

=====

No. 17
## CaGa2Ag10 (PBE)

Data for CaGa2Ag10 after structural relaxation.

Calculated values
ΔH_f (0 K): -0.0783 eV per atom
DFT total energy: -2.891 eV per atom
volume: 247.5 Å³ per cell
total magnetization: 0.00 Bohr magnetons per cell

a b c (Å): 5.387 7.343 7.244
angles (deg): 82.16 68.17 68.48
Fractional coordinates of all 13 atoms:
Ag: 0.495 0.221 0.788
Ag: 0.997 0.354 0.653
Ag: 0.650 0.354 0.347
Ag: 0.500 0.000 0.500
Ag: 0.350 0.646 0.653
Ag: 0.283 0.221 0.212
Ag: 0.003 0.646 0.347
Ag: 0.000 0.000 0.500
Ag: 0.505 0.779 0.212
Ag: 0.717 0.779 0.788
Ga: 0.500 0.500 0.000
Ga: 0.000 0.500 0.000
Ca: 0.000 0.000 0.000

=====

No. 18
## Ca6GaAg2 (PBE)

Data for Ca6GaAg2 after structural relaxation.

Calculated values
ΔH_f (0 K): -0.2565 eV per atom
DFT total energy: -2.561 eV per atom
volume: 277.0 Å³ per cell
total magnetization: 0.00 Bohr magnetons per cell

a b c (Å): 5.279 7.106 8.380
angles (deg): 83.28 71.64 68.19
Fractional coordinates of all 9 atoms:
Ca: 0.970 0.229 0.831
Ca: 0.635 0.230 0.500
Ca: 0.030 0.771 0.169
Ca: 0.365 0.770 0.500
Ca: 0.301 0.229 0.169
Ca: 0.699 0.771 0.831
Ga: 0.000 0.500 0.500
Ag: 0.665 0.500 0.169
Ag: 0.335 0.500 0.831

=====

No. 19
## Ca2Ga3Ag17 (PBE)

Data for Ca2Ga3Ag17 after structural relaxation.

Calculated values
ΔH_f (0 K): 0.0588 eV per atom
DFT total energy: -2.739 eV per atom
volume: 460.1 Å³ per cell
total magnetization: 0.00 Bohr magnetons per cell

a b c (Å): 7.761 7.761 7.761
angles (deg): 83.92 83.92 83.92
Fractional coordinates of all 22 atoms:
Ca: 0.670 0.670 0.670
Ca: 0.330 0.330 0.330
Ag: 0.261 0.000 0.739
Ag: 0.822 0.331 0.331
Ag: 0.739 0.000 0.261
Ag: 0.261 0.739 0.000
Ag: 0.178 0.669 0.669
Ag: 0.000 0.500 0.000
Ag: 0.500 0.000 0.000
Ag: 0.739 0.261 0.000
Ag: 0.331 0.331 0.822
Ag: 0.000 0.000 0.500
Ag: 0.000 0.261 0.739
Ag: 0.900 0.900 0.900
Ag: 0.000 0.739 0.261
Ag: 0.331 0.822 0.331
Ag: 0.669 0.669 0.178
Ag: 0.669 0.178 0.669
Ag: 0.100 0.100 0.100
Ga: 0.500 0.500 0.000
Ga: 0.000 0.500 0.500
Ga: 0.500 0.000 0.500

=====

No. 20
## Ca2Ga3Ag2 (PBE)

Data for Ca2Ga3Ag2 after structural relaxation.

Calculated values
ΔH_f (0 K): -0.3458 eV per atom
DFT total energy: -3.030 eV per atom
volume: 151.4 Å³ per cell
total magnetization: 0.00 Bohr magnetons per cell

a b c (Å): 4.546 5.795 6.927
angles (deg): 113.41 90.00 113.09
Fractional coordinates of all 7 atoms:
Ag: 0.867 0.733 0.769
Ag: 0.133 0.267 0.231
Ga: 0.599 0.198 0.430
Ga: 0.401 0.802 0.570
Ga: 0.500 0.000 0.000
Ca: 0.844 0.688 0.233
Ca: 0.156 0.312 0.767

=====

No. 21
## CaGa6Ag2 (PBE)

Data for CaGa6Ag2 after structural relaxation.

Calculated values
ΔH_f (0 K): -0.0774 eV per atom
DFT total energy: -2.951 eV per atom
E above lowest polymorph: 45 meV/atom
volume: 176.9 Å³ per cell
total magnetization: 0.00 Bohr magnetons per cell

a b c (Å): 7.947 7.947 3.234
angles (deg): 90.00 90.00 120.00
Fractional coordinates of all 9 atoms:
Ga: 0.342 0.000 0.500
Ga: 0.342 0.342 0.500
Ga: 0.000 0.342 0.500
Ga: 0.000 0.658 0.500
Ga: 0.658 0.000 0.500
Ga: 0.658 0.658 0.500
Ag: 0.333 0.667 0.000
Ag: 0.667 0.333 0.000
Ca: 0.000 0.000 0.000

=====

no.,D(E_F) (states/eV/atom)
1,0.315
2,0.762
3,0.630
4,0.665
5,0.371
6,0.311
7,0.385
8,0.650
9,0.712
10,0.296
11,0.476
12,0.539
13,0.254
14,0.415
15,0.267
16,0.214
17,0.270
18,0.680
19,0.329
20,0.440
21,0.292